(1)
! CeTm2PaTc2 | the Alexandria database | PBE-GGA | optimized geometry; values from VASP
&SYSTEM
  ibrav = 0, nat = 12, ntyp = 4
/
ATOMIC_SPECIES
Ce 140.12 Ce.upf
Tm 168.93 Tm.upf
Pa 231.04 Pa.upf
Tc 98.00 Tc.upf
ATOMIC_POSITIONS crystal
Ce 0.2500 0.2500 0.0000
Ce 0.7500 0.7500 0.0000
Tm 0.1939 0.7001 0.8940
Tm 0.3061 0.2001 0.5063
Tm 0.6939 0.7999 0.4937
Tm 0.8061 0.2999 0.1060
Pa 0.2500 0.7500 0.5000
Pa 0.7500 0.2500 0.5000
Tc 0.0949 0.2749 0.3698
Tc 0.4051 0.7749 0.1800
Tc 0.5949 0.2251 0.8200
Tc 0.9051 0.7251 0.6302
CELL_PARAMETERS angstrom
-3.4337 6.6487 3.3568
3.4337 -6.6487 3.3568
3.4337 6.6487 -3.3568
! ΔE_f = -0.128 eV per formula unit

---

(2)
! Ce2TmPaTc2 | the Alexandria database | PBE-GGA | optimized geometry; values from VASP
&SYSTEM
  ibrav = 0, nat = 12, ntyp = 4
/
ATOMIC_SPECIES
Ce 140.12 Ce.upf
Tm 168.93 Tm.upf
Pa 231.04 Pa.upf
Tc 98.00 Tc.upf
ATOMIC_POSITIONS crystal
Ce 0.0000 0.0824 0.0000
Ce 0.0000 0.9176 0.5000
Ce 0.5000 0.1635 0.2579
Ce 0.5000 0.8365 0.7579
Tm 0.5000 0.4400 0.9493
Tm 0.5000 0.5600 0.4493
Pa 0.0000 0.2969 0.5951
Pa 0.0000 0.7031 0.0951
Tc 0.0000 0.3820 0.2616
Tc 0.0000 0.6180 0.7616
Tc 0.5000 0.1675 0.7257
Tc 0.5000 0.8325 0.2257
CELL_PARAMETERS angstrom
4.2307 0.0000 0.0000
0.0000 9.4868 0.0000
0.0000 0.0000 6.9756
! ΔE_f = -0.753 eV per formula unit

---

(3)
! CeTm2Pa2Tc2 | the Alexandria database | PBE-GGA | optimized geometry; values from VASP
&SYSTEM
  ibrav = 0, nat = 7, ntyp = 4
/
ATOMIC_SPECIES
Ce 140.12 Ce.upf
Tm 168.93 Tm.upf
Pa 231.04 Pa.upf
Tc 98.00 Tc.upf
ATOMIC_POSITIONS crystal
Ce 0.0000 0.0000 0.0000
Tm 0.2056 0.2056 0.7411
Tm 0.7944 0.7944 0.2589
Pa 0.4951 0.4951 0.3298
Pa 0.5049 0.5049 0.6702
Tc 0.1846 0.1846 0.3702
Tc 0.8154 0.8154 0.6298
CELL_PARAMETERS angstrom
4.9833 -2.5948 0.0000
4.9833 2.5948 0.0000
-4.8279 0.0000 6.5937
! ΔE_f = -0.176 eV per formula unit

---

(4)
! CeUPaTc | the Alexandria database | PBE-GGA | optimized geometry; values from VASP
&SYSTEM
  ibrav = 0, nat = 4, ntyp = 4
/
ATOMIC_SPECIES
Ce 140.12 Ce.upf
U 238.03 U.upf
Pa 231.04 Pa.upf
Tc 98.00 Tc.upf
ATOMIC_POSITIONS crystal
Ce 0.0000 0.0000 0.0000
U 0.7500 0.7500 0.7500
Pa 0.2500 0.2500 0.2500
Tc 0.5000 0.5000 0.5000
CELL_PARAMETERS angstrom
0.0000 3.4883 3.4883
3.4883 0.0000 3.4883
3.4883 3.4883 0.0000
! ΔE_f = 0.754 eV per formula unit

---

(5)
! Ce2YPaTc2 | the Alexandria database | PBE-GGA | optimized geometry; values from VASP
&SYSTEM
  ibrav = 0, nat = 12, ntyp = 4
/
ATOMIC_SPECIES
Ce 140.12 Ce.upf
Y 88.91 Y.upf
Pa 231.04 Pa.upf
Tc 98.00 Tc.upf
ATOMIC_POSITIONS crystal
Ce 0.0000 0.0800 0.0000
Ce 0.0000 0.9200 0.5000
Ce 0.5000 0.1601 0.2596
Ce 0.5000 0.8399 0.7596
Y 0.5000 0.4375 0.9564
Y 0.5000 0.5625 0.4564
Pa 0.0000 0.2918 0.5960
Pa 0.0000 0.7082 0.0960
Tc 0.0000 0.3723 0.2728
Tc 0.0000 0.6277 0.7728
Tc 0.5000 0.1646 0.7290
Tc 0.5000 0.8354 0.2290
CELL_PARAMETERS angstrom
4.1705 0.0000 0.0000
0.0000 9.6794 0.0000
0.0000 0.0000 7.0938
! ΔE_f = -0.658 eV per formula unit

---

(6)
! CePaZnTc | the Alexandria database | PBE-GGA | optimized geometry; values from VASP
&SYSTEM
  ibrav = 0, nat = 4, ntyp = 4
/
ATOMIC_SPECIES
Ce 140.12 Ce.upf
Pa 231.04 Pa.upf
Zn 65.41 Zn.upf
Tc 98.00 Tc.upf
ATOMIC_POSITIONS crystal
Ce 0.0000 0.0000 0.0000
Pa 0.5000 0.5000 0.5000
Zn 0.7500 0.7500 0.7500
Tc 0.2500 0.2500 0.2500
CELL_PARAMETERS angstrom
0.0000 3.4924 3.4924
3.4924 0.0000 3.4924
3.4924 3.4924 0.0000
! ΔE_f = -0.146 eV per formula unit

---

(7)
! Ce2PaTe | the Alexandria database | PBE-GGA | optimized geometry; values from VASP
&SYSTEM
  ibrav = 0, nat = 4, ntyp = 3
/
ATOMIC_SPECIES
Ce 140.12 Ce.upf
Pa 231.04 Pa.upf
Te 127.60 Te.upf
ATOMIC_POSITIONS crystal
Ce 0.0000 0.5000 0.0000
Ce 0.5000 0.0000 0.0000
Pa 0.0000 0.0000 0.5000
Te 0.5000 0.5000 0.5000
CELL_PARAMETERS angstrom
4.7100 0.0000 0.0000
0.0000 4.7100 0.0000
0.0000 0.0000 4.5422
! formation energy from raw total energies = -0.46 eV/atom

---

(8)
! Ce3PaTe4 | the Alexandria database | PBE-GGA | optimized geometry; values from VASP
&SYSTEM
  ibrav = 0, nat = 8, ntyp = 3
/
ATOMIC_SPECIES
Ce 140.12 Ce.upf
Pa 231.04 Pa.upf
Te 127.60 Te.upf
ATOMIC_POSITIONS crystal
Ce 0.0000 0.0000 0.0000
Ce 0.0000 0.5000 0.5000
Ce 0.5000 0.0000 0.5000
Pa 0.5000 0.5000 0.0000
Te 0.2522 0.7478 0.0000
Te 0.2542 0.2542 0.5000
Te 0.7458 0.7458 0.5000
Te 0.7478 0.2522 0.0000
CELL_PARAMETERS angstrom
4.5016 -6.2914 0.0000
4.5016 6.2914 0.0000
0.0000 0.0000 4.3937
! formation energy from raw total energies = -1.16 eV/atom

---

(9)
! CePaTe2 | the Alexandria database | PBE-GGA | optimized geometry; values from VASP
&SYSTEM
  ibrav = 0, nat = 4, ntyp = 3
/
ATOMIC_SPECIES
Ce 140.12 Ce.upf
Pa 231.04 Pa.upf
Te 127.60 Te.upf
ATOMIC_POSITIONS crystal
Ce 0.0000 0.0000 0.0000
Pa 0.0000 0.0000 0.5000
Te 0.5000 0.5000 0.2592
Te 0.5000 0.5000 0.7408
CELL_PARAMETERS angstrom
3.7924 0.0000 0.0000
0.0000 3.7924 0.0000
0.0000 0.0000 7.6460
! formation energy from raw total energies = -0.92 eV/atom

---

(10)
! Ce2PaTe | the Alexandria database | PBE-GGA | optimized geometry; values from VASP
&SYSTEM
  ibrav = 0, nat = 4, ntyp = 3
/
ATOMIC_SPECIES
Ce 140.12 Ce.upf
Pa 231.04 Pa.upf
Te 127.60 Te.upf
ATOMIC_POSITIONS crystal
Ce 0.0000 0.0000 0.2424
Ce 0.0000 0.0000 0.7576
Pa 0.5000 0.5000 0.0000
Te 0.5000 0.5000 0.5000
CELL_PARAMETERS angstrom
3.9572 0.0000 0.0000
0.0000 3.9572 0.0000
0.0000 0.0000 6.7976
! formation energy from raw total energies = -0.39 eV/atom

---

(11)
! CePaTe2 | the Alexandria database | PBE-GGA | optimized geometry; values from VASP
&SYSTEM
  ibrav = 0, nat = 4, ntyp = 3
/
ATOMIC_SPECIES
Ce 140.12 Ce.upf
Pa 231.04 Pa.upf
Te 127.60 Te.upf
ATOMIC_POSITIONS crystal
Ce 0.0000 0.0000 0.0000
Pa 0.5000 0.5000 0.5000
Te 0.1007 0.1007 0.1007
Te 0.8993 0.8993 0.8993
CELL_PARAMETERS angstrom
2.0072 1.1588 10.3290
-2.0072 1.1588 10.3290
0.0000 -2.3177 10.3290
! formation energy from raw total energies = -0.45 eV/atom

---

(12)
! CePa6Te8 | the Alexandria database | PBE-GGA | optimized geometry; values from VASP
&SYSTEM
  ibrav = 0, nat = 15, ntyp = 3
/
ATOMIC_SPECIES
Ce 140.12 Ce.upf
Pa 231.04 Pa.upf
Te 127.60 Te.upf
ATOMIC_POSITIONS crystal
Ce 0.0000 0.0000 0.0000
Pa 0.1812 0.4525 0.6071
Pa 0.3929 0.8188 0.5475
Pa 0.4525 0.6071 0.1812
Pa 0.5475 0.3929 0.8188
Pa 0.6071 0.1812 0.4525
Pa 0.8188 0.5475 0.3929
Te 0.0892 0.8140 0.3645
Te 0.1860 0.6355 0.9108
Te 0.2734 0.2734 0.2734
Te 0.3645 0.0892 0.8140
Te 0.6355 0.9108 0.1860
Te 0.7266 0.7266 0.7266
Te 0.8140 0.3645 0.0892
Te 0.9108 0.1860 0.6355
CELL_PARAMETERS angstrom
4.9346 2.8490 5.4965
-4.9346 2.8490 5.4965
0.0000 -5.6980 5.4965
! formation energy from raw total energies = -0.61 eV/atom

---

(13)
! CePa4Te8 | the Alexandria database | PBE-GGA | optimized geometry; values from VASP
&SYSTEM
  ibrav = 0, nat = 13, ntyp = 3
/
ATOMIC_SPECIES
Ce 140.12 Ce.upf
Pa 231.04 Pa.upf
Te 127.60 Te.upf
ATOMIC_POSITIONS crystal
Ce 0.0000 0.0000 0.0000
Pa 0.3942 0.3942 0.3942
Pa 0.3942 0.3942 0.8175
Pa 0.3942 0.8175 0.3942
Pa 0.8175 0.3942 0.3942
Te 0.0921 0.6360 0.6360
Te 0.1404 0.1404 0.1404
Te 0.1404 0.1404 0.5787
Te 0.1404 0.5787 0.1404
Te 0.5787 0.1404 0.1404
Te 0.6360 0.0921 0.6360
Te 0.6360 0.6360 0.0921
Te 0.6360 0.6360 0.6360
CELL_PARAMETERS angstrom
0.0000 6.2337 6.2337
6.2337 0.0000 6.2337
6.2337 6.2337 0.0000
! formation energy from raw total energies = -0.73 eV/atom

---

(14)
! CePaTe2 | the Alexandria database | PBE-GGA | optimized geometry; values from VASP
&SYSTEM
  ibrav = 0, nat = 4, ntyp = 3
/
ATOMIC_SPECIES
Ce 140.12 Ce.upf
Pa 231.04 Pa.upf
Te 127.60 Te.upf
ATOMIC_POSITIONS crystal
Ce 0.0000 0.0000 0.0000
Pa 0.5000 0.5000 0.5000
Te 0.2500 0.2500 0.2500
Te 0.7500 0.7500 0.7500
CELL_PARAMETERS angstrom
0.0000 3.8036 3.8036
3.8036 0.0000 3.8036
3.8036 3.8036 0.0000
! formation energy from raw total energies = -0.89 eV/atom

---

(15)
! Ce2PaTe | the Alexandria database | PBE-GGA | optimized geometry; values from VASP
&SYSTEM
  ibrav = 0, nat = 4, ntyp = 3
/
ATOMIC_SPECIES
Ce 140.12 Ce.upf
Pa 231.04 Pa.upf
Te 127.60 Te.upf
ATOMIC_POSITIONS crystal
Ce 0.2381 0.2381 0.2381
Ce 0.7619 0.7619 0.7619
Pa 0.5000 0.5000 0.5000
Te 0.0000 0.0000 0.0000
CELL_PARAMETERS angstrom
1.9921 1.1501 7.7306
-1.9921 1.1501 7.7306
0.0000 -2.3002 7.7306
! formation energy from raw total energies = -0.13 eV/atom

---

(16)
! Ce2PaTe5 | the Alexandria database | PBE-GGA | optimized geometry; values from VASP
&SYSTEM
  ibrav = 0, nat = 16, ntyp = 3
/
ATOMIC_SPECIES
Ce 140.12 Ce.upf
Pa 231.04 Pa.upf
Te 127.60 Te.upf
ATOMIC_POSITIONS crystal
Ce 0.0357 0.1769 0.0000
Ce 0.4643 0.6769 0.0000
Ce 0.5357 0.3231 0.0000
Ce 0.9643 0.8231 0.0000
Pa 0.0000 0.5000 0.5000
Pa 0.5000 0.0000 0.5000
Te 0.0000 0.0000 0.5000
Te 0.1744 0.6980 0.5000
Te 0.1802 0.4014 0.0000
Te 0.3198 0.9014 0.0000
Te 0.3256 0.1980 0.5000
Te 0.5000 0.5000 0.5000
Te 0.6744 0.8020 0.5000
Te 0.6802 0.0986 0.0000
Te 0.8198 0.5986 0.0000
Te 0.8256 0.3020 0.5000
CELL_PARAMETERS angstrom
8.8991 0.0000 0.0000
0.0000 13.4565 0.0000
0.0000 0.0000 4.3907
! formation energy from raw total energies = -1.11 eV/atom

---

(17)
! CePa2Te | the Alexandria database | PBE-GGA | optimized geometry; values from VASP
&SYSTEM
  ibrav = 0, nat = 4, ntyp = 3
/
ATOMIC_SPECIES
Ce 140.12 Ce.upf
Pa 231.04 Pa.upf
Te 127.60 Te.upf
ATOMIC_POSITIONS crystal
Ce 0.0000 0.0000 0.0000
Pa 0.0000 0.5000 0.5000
Pa 0.5000 0.0000 0.5000
Te 0.5000 0.5000 0.0000
CELL_PARAMETERS angstrom
4.5488 0.0000 0.0000
0.0000 4.5488 0.0000
0.0000 0.0000 4.7505
! formation energy from raw total energies = -0.39 eV/atom

---

(18)
! Ce2PaTe4 | the Alexandria database | PBE-GGA | optimized geometry; values from VASP
&SYSTEM
  ibrav = 0, nat = 14, ntyp = 3
/
ATOMIC_SPECIES
Ce 140.12 Ce.upf
Pa 231.04 Pa.upf
Te 127.60 Te.upf
ATOMIC_POSITIONS crystal
Ce 0.1377 0.8623 0.5665
Ce 0.1377 0.8623 0.9335
Ce 0.8623 0.1377 0.0665
Ce 0.8623 0.1377 0.4335
Pa 0.3795 0.6205 0.7500
Pa 0.6205 0.3795 0.2500
Te 0.0348 0.9652 0.7500
Te 0.2190 0.7810 0.1295
Te 0.2190 0.7810 0.3705
Te 0.5000 0.5000 0.0000
Te 0.5000 0.5000 0.5000
Te 0.7810 0.2190 0.6295
Te 0.7810 0.2190 0.8705
Te 0.9652 0.0348 0.2500
CELL_PARAMETERS angstrom
2.1428 -7.3874 0.0000
2.1428 7.3874 0.0000
0.0000 0.0000 15.1797
! formation energy from raw total energies = -1.06 eV/atom

---

(19)
! Ce2ThPa | the Alexandria database | PBE-GGA | optimized geometry; values from VASP
&SYSTEM
  ibrav = 0, nat = 4, ntyp = 3
/
ATOMIC_SPECIES
Ce 140.12 Ce.upf
Th 232.04 Th.upf
Pa 231.04 Pa.upf
ATOMIC_POSITIONS crystal
Ce 0.2500 0.2500 0.2500
Ce 0.7500 0.7500 0.7500
Th 0.0000 0.0000 0.0000
Pa 0.5000 0.5000 0.5000
CELL_PARAMETERS angstrom
0.0000 3.8010 3.8010
3.8010 0.0000 3.8010
3.8010 3.8010 0.0000
! ΔE_f = 1.116 eV per formula unit

---

(20)
! Ce2ThPa | the Alexandria database | PBE-GGA | optimized geometry; values from VASP
&SYSTEM
  ibrav = 0, nat = 4, ntyp = 3
/
ATOMIC_SPECIES
Ce 140.12 Ce.upf
Th 232.04 Th.upf
Pa 231.04 Pa.upf
ATOMIC_POSITIONS crystal
Ce 0.0834 0.0834 0.0834
Ce 0.9166 0.9166 0.9166
Th 0.5000 0.5000 0.5000
Pa 0.0000 0.0000 0.0000
CELL_PARAMETERS angstrom
1.6230 0.9370 11.8989
-1.6230 0.9370 11.8989
0.0000 -1.8741 11.8989
! ΔE_f = 0.886 eV per formula unit